[1]
Entry from Alexandria via LeMat-Bulk: a geometry-optimized Rb3NdDy2Te6 structure (PBE).

Results
Uncorrected formation energy in meV/atom: -1391
E_tot in eV/atom: -4.368
Total magnetization in μB per atom: 0.000

Geometry as CIF:
```
data_Rb3NdDy2Te6
_chemical_formula_sum 'Rb6 Nd2 Dy4 Te12'
_cell_length_a 7.9118
_cell_length_b 13.7053
_cell_length_c 8.9574
_cell_angle_alpha 90.00
_cell_angle_beta 107.13
_cell_angle_gamma 90.00
_space_group_name_H-M_alt 'C 1 2/m 1'
_space_group_IT_number 12
_space_group_name_Hall '-C 2y'
loop_
_atom_site_label
_atom_site_fract_x
_atom_site_fract_y
_atom_site_fract_z
Rb1 0.0000 0.0000 0.0000
Rb2 0.0000 0.3352 0.0000
Nd1 0.0000 0.5000 0.5000
Dy1 0.0000 0.1669 0.5000
Te1 0.2261 0.0000 0.7006
Te2 0.2375 0.3296 0.7012
```



[2]
Entry from Alexandria via LeMat-Bulk: a geometry-optimized Rb3Nd3DyTe8 structure (PBE).

Results
Uncorrected formation energy in meV/atom: -1322
E_tot in eV/atom: -4.452
D(E_F) in states/eV per atom: 0.581
Total magnetization in μB per atom: 0.000

Geometry as CIF:
```
data_Rb3Nd3DyTe8
_chemical_formula_sum 'Rb6 Nd6 Dy2 Te16'
_cell_length_a 15.6880
_cell_length_b 9.0507
_cell_length_c 10.2765
_cell_angle_alpha 90.00
_cell_angle_beta 120.63
_cell_angle_gamma 90.00
_space_group_name_H-M_alt 'C 1 2/m 1'
_space_group_IT_number 12
_space_group_name_Hall '-C 2y'
loop_
_atom_site_label
_atom_site_fract_x
_atom_site_fract_y
_atom_site_fract_z
Rb1 0.0000 0.0000 0.0000
Rb2 0.2500 0.2500 0.0000
Nd1 0.0000 0.5000 0.5000
Nd2 0.2500 0.2500 0.5000
Dy1 0.0000 0.0000 0.5000
Te1 0.0146 0.2451 0.2989
Te2 0.2305 0.0000 0.7011
Te3 0.2356 0.5000 0.7064
```



[3]
Entry from Alexandria via LeMat-Bulk: a geometry-optimized NdDyRe4 structure (PBE).

Results
E_tot in eV/atom: -9.913
D(E_F) in states/eV per atom: 1.401
Total magnetization in μB per atom: 0.000
Calculated formation energy in eV/atom: -0.0525

Geometry as CIF:
```
data_NdDyRe4
_chemical_formula_sum 'Nd4 Dy4 Re16'
_cell_length_a 7.7295
_cell_length_b 7.7295
_cell_length_c 7.7295
_cell_angle_alpha 90.00
_cell_angle_beta 90.00
_cell_angle_gamma 90.00
_space_group_name_H-M_alt 'F -4 3 m'
_space_group_IT_number 216
_space_group_name_Hall 'F -4 2 3'
loop_
_atom_site_label
_atom_site_fract_x
_atom_site_fract_y
_atom_site_fract_z
Nd1 0.0000 0.0000 0.0000
Dy1 0.2500 0.2500 0.2500
Re1 0.1249 0.1249 0.6249
```



[4]
Entry from Alexandria via LeMat-Bulk: a geometry-optimized NdDyRe structure (PBE).

Results
E_tot in eV/atom: -6.530
D(E_F) in states/eV per atom: 1.189
Total magnetization in μB per atom: 0.000
Calculated formation energy in eV/atom: 0.7425

Geometry as CIF:
```
data_NdDyRe
_chemical_formula_sum 'Nd8 Dy8 Re8'
_cell_length_a 5.4154
_cell_length_b 7.2191
_cell_length_c 17.1218
_cell_angle_alpha 90.00
_cell_angle_beta 90.00
_cell_angle_gamma 90.00
_space_group_name_H-M_alt 'F m m m'
_space_group_IT_number 69
_space_group_name_Hall '-F 2 2'
loop_
_atom_site_label
_atom_site_fract_x
_atom_site_fract_y
_atom_site_fract_z
Nd1 0.2500 0.2500 0.2500
Dy1 0.0000 0.0000 0.0905
Re1 0.0000 0.1646 0.5000
```



[5]
Entry from Alexandria via LeMat-Bulk: a geometry-optimized NdDy4Rh5 structure (PBE).

Results
E_tot in eV/atom: -6.810
D(E_F) in states/eV per atom: 0.671
Total magnetization in μB per atom: 0.000
Calculated formation energy in eV/atom: -0.8170

Geometry as CIF:
```
data_NdDy4Rh5
_chemical_formula_sum 'Nd1 Dy4 Rh5'
_cell_length_a 3.4149
_cell_length_b 3.4149
_cell_length_c 17.5875
_cell_angle_alpha 90.00
_cell_angle_beta 90.00
_cell_angle_gamma 90.00
_space_group_name_H-M_alt 'P 4/m m m'
_space_group_IT_number 123
_space_group_name_Hall '-P 4 2'
loop_
_atom_site_label
_atom_site_fract_x
_atom_site_fract_y
_atom_site_fract_z
Nd1 0.0000 0.0000 0.0000
Dy1 0.0000 0.0000 0.2040
Dy2 0.0000 0.0000 0.4014
Rh1 0.5000 0.5000 0.1080
Rh2 0.5000 0.5000 0.3030
Rh3 0.5000 0.5000 0.5000
```



[6]
Entry from Alexandria via LeMat-Bulk: a geometry-optimized Nd3DyRh4 structure (PBE).

Results
E_tot in eV/atom: -6.720
D(E_F) in states/eV per atom: 0.848
Total magnetization in μB per atom: 0.000
Calculated formation energy in eV/atom: -0.6812

Geometry as CIF:
```
data_Nd3DyRh4
_chemical_formula_sum 'Nd3 Dy1 Rh4'
_cell_length_a 3.4733
_cell_length_b 3.4733
_cell_length_c 14.3902
_cell_angle_alpha 90.00
_cell_angle_beta 90.00
_cell_angle_gamma 90.00
_space_group_name_H-M_alt 'P 4/m m m'
_space_group_IT_number 123
_space_group_name_Hall '-P 4 2'
loop_
_atom_site_label
_atom_site_fract_x
_atom_site_fract_y
_atom_site_fract_z
Nd1 0.0000 0.0000 0.0000
Nd2 0.0000 0.0000 0.2538
Dy1 0.0000 0.0000 0.5000
Rh1 0.5000 0.5000 0.1270
Rh2 0.5000 0.5000 0.3837
```